(1)
The following is a DFT calculation (PBE-GGA) of a relaxed BaCaPr crystal.

Calculated values
- total magnetization (μB per formula unit) = 0.00
- energy of formation (eV per atom) = 0.12
- raw total energy (eV per atom) = -2.778

Unit cell a=3.9426 b=3.9426 c=9.8489 alpha=90.00 beta=90.00 gamma=120.00
Space group P3m1 (No. 156)
Unique sites:
Ba  0.0000  0.0000  0.0000 [1 per cell]
Ca  0.3333  0.6667  0.6453 [1 per cell]
Pr  0.6667  0.3333  0.3385 [1 per cell]

---

(2)
The following is a DFT calculation (PBE-GGA) of a relaxed KSb2MoI crystal.

Calculated values
- energy relative to the elements, uncorrected (eV/atom) = 2.089
- total magnetization (μB per formula unit) = 0.00
- raw total energy (eV per atom) = -2.255

Unit cell a=5.6670 b=5.6670 c=5.7696 alpha=90.00 beta=90.00 gamma=90.00
Space group P4/mmm (No. 123)
Unique sites:
K  0.0000  0.0000  0.0000 [1 per cell]
Sb  0.0000  0.5000  0.0000 [2 per cell]
Mo  0.5000  0.5000  0.5000 [1 per cell]
I  0.0000  0.0000  0.5000 [1 per cell]

---

(3)
The following is a DFT calculation (PBE-GGA) of a relaxed Sm2ReAg crystal.

Calculated values
- total magnetization (μB per formula unit) = 0.00
- energy of formation (eV per atom) = 0.02
- raw total energy (eV per atom) = -6.163

Unit cell a=3.5175 b=3.5175 c=7.6568 alpha=90.00 beta=90.00 gamma=90.00
Space group P4/mmm (No. 123)
Unique sites:
Sm  0.0000  0.0000  0.2219 [2 per cell]
Re  0.5000  0.5000  0.0000 [1 per cell]
Ag  0.5000  0.5000  0.5000 [1 per cell]

---

(4)
The following is a DFT calculation (PBE-GGA) of a relaxed As3P crystal.

Calculated values
- total magnetization (μB per formula unit) = 0.00
- energy of formation (eV per atom) = 0.52
- raw total energy (eV per atom) = -4.318

Unit cell a=3.2595 b=3.2595 c=6.8040 alpha=90.00 beta=90.00 gamma=90.00
Space group P4/mmm (No. 123)
Unique sites:
As  0.0000  0.0000  0.0000 [1 per cell]
As  0.5000  0.5000  0.2805 [2 per cell]
P  0.0000  0.0000  0.5000 [1 per cell]

---

(5)
The following is a DFT calculation (PBE-GGA) of a relaxed Ac2AlCuSe6 crystal.

Calculated values
- energy relative to the elements, uncorrected (eV/atom) = -1.192
- total magnetization (μB per formula unit) = 0.00
- raw total energy (eV per atom) = -4.888

Unit cell a=6.5650 b=8.0376 c=11.6984 alpha=90.00 beta=123.02 gamma=90.00
Space group P2_1/c (No. 14)
Unique sites:
Ac  0.1921  0.1229  0.2455 [4 per cell]
Al  0.0000  0.0000  0.5000 [2 per cell]
Cu  0.5000  0.0000  0.0000 [2 per cell]
Se  0.1489  0.1667  0.9568 [4 per cell]
Se  0.2698  0.6557  0.9638 [4 per cell]
Se  0.3503  0.5140  0.2589 [4 per cell]

---

(6)
The following is a DFT calculation (PBE-GGA) of a relaxed TbGdRh2 crystal.

Calculated values
- total magnetization (μB per formula unit) = 7.03
- energy of formation (eV per atom) = -0.82
- raw total energy (eV per atom) = -9.169

Unit cell a=4.9252 b=4.9252 c=3.3876 alpha=90.00 beta=90.00 gamma=90.00
Space group P4/mmm (No. 123)
Unique sites:
Tb  0.0000  0.0000  0.0000 [1 per cell]
Gd  0.5000  0.5000  0.0000 [1 per cell]
Rh  0.0000  0.5000  0.5000 [2 per cell]

---

(7)
The following is a DFT calculation (PBE-GGA) of a relaxed Mn2VRh2 crystal.

Calculated values
- total magnetization (μB per formula unit) = 0.99
- energy of formation (eV per atom) = 0.06
- raw total energy (eV per atom) = -8.372

Unit cell a=7.0565 b=7.0565 c=2.6553 alpha=90.00 beta=90.00 gamma=90.00
Space group P4/mbm (No. 127)
Unique sites:
Mn  0.1159  0.3841  0.0000 [4 per cell]
V  0.0000  0.0000  0.0000 [2 per cell]
Rh  0.1793  0.6793  0.5000 [4 per cell]

---

(8)
The following is a DFT calculation (PBE-GGA) of a relaxed Pu3HfP4 crystal.

Calculated values
- total magnetization (μB per formula unit) = 15.14
- energy of formation (eV per atom) = -1.21
- raw total energy (eV per atom) = -10.532

Unit cell a=7.8529 b=11.0567 c=3.9078 alpha=90.00 beta=90.00 gamma=90.00
Space group Cmmm (No. 65)
Unique sites:
Pu  0.0000  0.0000  0.0000 [2 per cell]
Pu  0.2500  0.2500  0.5000 [4 per cell]
Hf  0.0000  0.5000  0.0000 [2 per cell]
P  0.0000  0.2575  0.0000 [4 per cell]
P  0.2372  0.5000  0.5000 [4 per cell]

---

(9)
The following is a DFT calculation (PBE-GGA) of a relaxed ErMg2Zn crystal.

Calculated values
- total magnetization (μB per formula unit) = 0.00
- energy of formation (eV per atom) = -0.12
- raw total energy (eV per atom) = -2.376

Unit cell a=4.3262 b=4.3262 c=4.8173 alpha=90.00 beta=90.00 gamma=90.00
Space group P4/mmm (No. 123)
Unique sites:
Er  0.0000  0.0000  0.0000 [1 per cell]
Mg  0.0000  0.5000  0.5000 [2 per cell]
Zn  0.5000  0.5000  0.0000 [1 per cell]

---

(10)
The following is a DFT calculation (PBE-GGA) of a relaxed Al2SiSe crystal.

Calculated values
- energy relative to the elements, uncorrected (eV/atom) = 0.166
- total magnetization (μB per formula unit) = 0.00
- raw total energy (eV per atom) = -3.932

Unit cell a=4.8024 b=4.8024 c=2.9971 alpha=90.00 beta=90.00 gamma=90.00
Space group P4/mmm (No. 123)
Unique sites:
Al  0.0000  0.5000  0.0000 [2 per cell]
Si  0.0000  0.0000  0.5000 [1 per cell]
Se  0.5000  0.5000  0.5000 [1 per cell]

---

(11)
The following is a DFT calculation (PBE-GGA) of a relaxed CdRh2Cl crystal.

Calculated values
- energy relative to the elements, uncorrected (eV/atom) = 0.323
- total magnetization (μB per formula unit) = 0.00
- raw total energy (eV per atom) = -4.043

Unit cell a=4.6320 b=2.9903 c=5.0375 alpha=90.00 beta=107.82 gamma=90.00
Space group P2/m (No. 10)
Unique sites:
Cd  0.0000  0.0000  0.0000 [1 per cell]
Rh  0.5000  0.0000  0.5000 [1 per cell]
Rh  0.5000  0.5000  0.0000 [1 per cell]
Cl  0.0000  0.5000  0.5000 [1 per cell]

---

(12)
The following is a DFT calculation (PBE-GGA) of a relaxed AcCdBi2 crystal.

Calculated values
- total magnetization (μB per formula unit) = 0.00
- energy of formation (eV per atom) = -0.27
- raw total energy (eV per atom) = -3.462

Unit cell a=8.0499 b=8.0499 c=8.0499 alpha=90.00 beta=90.00 gamma=90.00
Space group Fm-3m (No. 225)
Unique sites:
Ac  0.0000  0.0000  0.0000 [4 per cell]
Cd  0.0000  0.0000  0.5000 [4 per cell]
Bi  0.2500  0.2500  0.2500 [8 per cell]

---

(13)
The following is a DFT calculation (PBE-GGA) of a relaxed Zr2NbIn2 crystal.

Calculated values
- total magnetization (μB per formula unit) = 0.00
- energy of formation (eV per atom) = -0.13
- raw total energy (eV per atom) = -6.663

Unit cell a=14.1773 b=4.9510 c=3.1500 alpha=90.00 beta=100.88 gamma=90.00
Space group C2/m (No. 12)
Unique sites:
Zr  0.0982  0.0000  0.3331 [4 per cell]
Nb  0.0000  0.5000  0.5000 [2 per cell]
In  0.1912  0.5000  0.9975 [4 per cell]

---

(14)
The following is a DFT calculation (PBE-GGA) of a relaxed LaTb3Dy6 crystal.

Calculated values
- total magnetization (μB per formula unit) = 0.00
- energy of formation (eV per atom) = 0.13
- raw total energy (eV per atom) = -4.509

Unit cell a=9.5105 b=15.3419 c=8.9747 alpha=90.00 beta=90.00 gamma=90.00
Space group Cmc2_1 (No. 36)
Unique sites:
La  0.0000  0.2243  0.0000 [4 per cell]
Tb  0.0000  0.4522  0.9030 [4 per cell]
Tb  0.1723  0.1421  0.4208 [8 per cell]
Dy  0.0000  0.0522  0.7719 [4 per cell]
Dy  0.0000  0.2856  0.6354 [4 per cell]
Dy  0.1767  0.3509  0.2592 [8 per cell]
Dy  0.2472  0.0606  0.0901 [8 per cell]

---

(15)
The following is a DFT calculation (PBE-GGA) of a relaxed CaAcHgAs crystal.

Calculated values
- total magnetization (μB per formula unit) = 0.00
- energy of formation (eV per atom) = -0.70
- raw total energy (eV per atom) = -3.466

Unit cell a=7.7164 b=7.7164 c=7.7164 alpha=90.00 beta=90.00 gamma=90.00
Space group F-43m (No. 216)
Unique sites:
Ca  0.0000  0.0000  0.0000 [4 per cell]
Ac  0.0000  0.0000  0.5000 [4 per cell]
Hg  0.2500  0.2500  0.2500 [4 per cell]
As  0.2500  0.2500  0.7500 [4 per cell]

---

(16)
The following is a DFT calculation (PBE-GGA) of a relaxed ZrCu2P crystal.

Calculated values
- total magnetization (μB per formula unit) = 0.00
- energy of formation (eV per atom) = -0.30
- raw total energy (eV per atom) = -5.841

Unit cell a=3.7025 b=3.7025 c=8.8649 alpha=90.00 beta=90.00 gamma=90.00
Space group I4/mmm (No. 139)
Unique sites:
Zr  0.0000  0.0000  0.0000 [2 per cell]
Cu  0.0000  0.5000  0.2500 [4 per cell]
P  0.0000  0.0000  0.5000 [2 per cell]

---

(17)
The following is a DFT calculation (PBE-GGA) of a relaxed Dy2InPd8 crystal.

Calculated values
- total magnetization (μB per formula unit) = 0.00
- energy of formation (eV per atom) = -0.61
- raw total energy (eV per atom) = -5.476

Unit cell a=4.6354 b=6.1025 c=14.2673 alpha=90.00 beta=90.00 gamma=90.00
Space group Immm (No. 71)
Unique sites:
Dy  0.0000  0.0000  0.1898 [4 per cell]
In  0.0000  0.0000  0.5000 [2 per cell]
Pd  0.0000  0.2380  0.0000 [4 per cell]
Pd  0.0000  0.2675  0.3582 [8 per cell]
Pd  0.0000  0.5000  0.1764 [4 per cell]

---

(18)
The following is a DFT calculation (PBE-GGA) of a relaxed ZrPaHg crystal.

Calculated values
- total magnetization (μB per formula unit) = 0.53
- energy of formation (eV per atom) = 0.17
- raw total energy (eV per atom) = -5.941

Unit cell a=5.1915 b=5.1915 c=3.0912 alpha=90.00 beta=90.00 gamma=120.00
Space group P-6m2 (No. 187)
Unique sites:
Zr  0.0000  0.0000  0.0000 [1 per cell]
Pa  0.6667  0.3333  0.5000 [1 per cell]
Hg  0.3333  0.6667  0.0000 [1 per cell]

---

(19)
The following is a DFT calculation (PBE-GGA) of a relaxed HgBIF4 crystal.

Calculated values
- energy relative to the elements, uncorrected (eV/atom) = -2.033
- total magnetization (μB per formula unit) = 0.00
- raw total energy (eV per atom) = -4.321

Unit cell a=11.6570 b=7.4908 c=8.5656 alpha=90.00 beta=123.53 gamma=90.00
Space group C2/m (No. 12)
Unique sites:
Hg  0.1355  0.0000  0.2285 [4 per cell]
B  0.1200  0.5000  0.3158 [4 per cell]
I  0.1370  0.0000  0.8975 [4 per cell]
F  0.0203  0.5000  0.8139 [4 per cell]
F  0.1449  0.5000  0.5040 [4 per cell]
F  0.1854  0.3465  0.3028 [8 per cell]

---

(20)
The following is a DFT calculation (PBE-GGA) of a relaxed TaTl2Fe crystal.

Calculated values
- total magnetization (μB per formula unit) = 2.42
- energy of formation (eV per atom) = 0.75
- raw total energy (eV per atom) = -5.515

Unit cell a=3.2107 b=4.8662 c=5.1518 alpha=90.00 beta=90.00 gamma=90.00
Space group Pmmm (No. 47)
Unique sites:
Ta  0.0000  0.0000  0.0000 [1 per cell]
Tl  0.0000  0.5000  0.5000 [1 per cell]
Tl  0.5000  0.5000  0.0000 [1 per cell]
Fe  0.5000  0.0000  0.5000 [1 per cell]